Compound: Pm5Mg2Pb4
Source: Alexandria via LeMat-Bulk
Functional: PBE
Structure: optimized geometry

Structure (CIF):
```
data_Pm5Mg2Pb4
_space_group_name_H-M_alt 'C 1 2/m 1'
_space_group_IT_number 12
_space_group_name_Hall '-C 2y'
_cell_length_a 21.874
_cell_length_b 4.527
_cell_length_c 7.770
_cell_angle_alpha 90.00
_cell_angle_beta 110.51
_cell_angle_gamma 90.00
loop_
_atom_site_label
_atom_site_type_symbol
_atom_site_fract_x
_atom_site_fract_y
_atom_site_fract_z
Pm1 Pm 0.000 0.000 0.000
Pm2 Pm 0.160 0.500 0.924
Pm3 Pm 0.161 0.500 0.400
Mg1 Mg 0.073 0.000 0.576
Pb1 Pb 0.000 0.500 0.290
Pb2 Pb 0.213 0.000 0.714
```

energy	-4.01	eV/atom

---

Compound: PmPuAs2
Source: Alexandria via LeMat-Bulk
Functional: PBE
Structure: optimized geometry

Structure (CIF):
```
data_PmPuAs2
_space_group_name_H-M_alt 'R 3 m'
_space_group_IT_number 160
_space_group_name_Hall 'R 3 -2"'
_cell_length_a 4.1541
_cell_length_b 4.1541
_cell_length_c 21.2172
_cell_angle_alpha 90.00
_cell_angle_beta 90.00
_cell_angle_gamma 120.00
loop_
_atom_site_label
_atom_site_type_symbol
_atom_site_fract_x
_atom_site_fract_y
_atom_site_fract_z
Pm1 Pm 0.0000 0.0000 0.0000
Pu1 Pu 0.0000 0.0000 0.1718
As1 As 0.0000 0.0000 0.5819
As2 As 0.0000 0.0000 0.7571
```

polymorph energy (0 for the lowest one)	143	meV per atom

---

Compound: NaZn3Ga2
Source: Alexandria via LeMat-Bulk
Functional: PBE
Structure: optimized geometry

Structure (CIF):
```
data_NaZn3Ga2
_space_group_name_H-M_alt 'I m m m'
_space_group_IT_number 71
_space_group_name_Hall '-I 2 2'
_cell_length_a 4.287
_cell_length_b 7.882
_cell_length_c 13.160
_cell_angle_alpha 90.00
_cell_angle_beta 90.00
_cell_angle_gamma 90.00
loop_
_atom_site_label
_atom_site_type_symbol
_atom_site_fract_x
_atom_site_fract_y
_atom_site_fract_z
Na1 Na 0.000 0.000 0.132
Zn1 Zn 0.000 0.205 0.322
Zn2 Zn 0.000 0.340 0.000
Ga1 Ga 0.000 0.338 0.500
Ga2 Ga 0.000 0.500 0.185
```

energy	-1.89	eV/atom

---

Compound: LaNd2Tm6
Source: Alexandria via LeMat-Bulk
Functional: PBE
Structure: optimized geometry

Structure (CIF):
```
data_LaNd2Tm6
_space_group_name_H-M_alt 'C 1 2/c 1'
_space_group_IT_number 15
_space_group_name_Hall '-C 2yc'
_cell_length_a 12.862
_cell_length_b 14.055
_cell_length_c 6.580
_cell_angle_alpha 90.00
_cell_angle_beta 102.28
_cell_angle_gamma 90.00
loop_
_atom_site_label
_atom_site_type_symbol
_atom_site_fract_x
_atom_site_fract_y
_atom_site_fract_z
La1 La 0.000 0.122 0.250
Nd1 Nd 0.142 0.471 0.373
Tm1 Tm 0.033 0.312 0.998
Tm2 Tm 0.134 0.086 0.820
Tm3 Tm 0.240 0.297 0.737
```

polymorph energy (0 for the lowest one)	25	meV per atom

---

Compound: ScPaBeTc
Source: Alexandria via LeMat-Bulk
Functional: PBE
Structure: optimized geometry

Structure (CIF):
```
data_ScPaBeTc
_space_group_name_H-M_alt 'F -4 3 m'
_space_group_IT_number 216
_space_group_name_Hall 'F -4 2 3'
_cell_length_a 6.651
_cell_length_b 6.651
_cell_length_c 6.651
_cell_angle_alpha 90.00
_cell_angle_beta 90.00
_cell_angle_gamma 90.00
loop_
_atom_site_label
_atom_site_type_symbol
_atom_site_fract_x
_atom_site_fract_y
_atom_site_fract_z
Sc1 Sc 0.000 0.000 0.000
Pa1 Pa 0.000 0.000 0.500
Be1 Be 0.250 0.250 0.250
Tc1 Tc 0.250 0.250 0.750
```

energy	-7.51	eV/atom

---

Compound: Cs2InBO4
Source: Alexandria via LeMat-Bulk
Functional: PBE
Structure: optimized geometry

Structure (CIF):
```
data_Cs2InBO4
_space_group_name_H-M_alt 'F d d d'
_space_group_IT_number 70
_cell_length_a 5.101
_cell_length_b 12.028
_cell_length_c 23.032
_cell_angle_alpha 90.00
_cell_angle_beta 90.00
_cell_angle_gamma 90.00
loop_
_space_group_symop_operation_xyz
'x,y,z'
'-x,-y,-z'
'-x+1/4,-y+1/4,z'
'x+1/4,y+1/4,-z'
'x,-y+1/4,-z+1/4'
'-x,y+1/4,z+1/4'
'-x+1/4,y,-z+1/4'
'x+1/4,-y,z+1/4'
'x,y+1/2,z+1/2'
'-x,-y+1/2,-z+1/2'
'-x+1/4,-y+3/4,z+1/2'
'x+1/4,y+3/4,-z+1/2'
'x,-y+3/4,-z+3/4'
'-x,y+3/4,z+3/4'
'-x+1/4,y+1/2,-z+3/4'
'x+1/4,-y+1/2,z+3/4'
'x+1/2,y,z+1/2'
'-x+1/2,-y,-z+1/2'
'-x+3/4,-y+1/4,z+1/2'
'x+3/4,y+1/4,-z+1/2'
'x+1/2,-y+1/4,-z+3/4'
'-x+1/2,y+1/4,z+3/4'
'-x+3/4,y,-z+3/4'
'x+3/4,-y,z+3/4'
'x+1/2,y+1/2,z'
'-x+1/2,-y+1/2,-z'
'-x+3/4,-y+3/4,z'
'x+3/4,y+3/4,-z'
'x+1/2,-y+3/4,-z+1/4'
'-x+1/2,y+3/4,z+1/4'
'-x+3/4,y+1/2,-z+1/4'
'x+3/4,-y+1/2,z+1/4'
loop_
_atom_site_label
_atom_site_type_symbol
_atom_site_fract_x
_atom_site_fract_y
_atom_site_fract_z
Cs1 Cs 0.125 0.125 0.301
In1 In 0.125 0.125 0.125
B1 B 0.125 0.125 0.625
O1 O 0.051 0.301 0.838
```

energy relative to the elements, uncorrected	-1662	meV/atom